(1)
Material: LaNd3Pt2
Method: DFT, PBE-GGA
State: relaxed

Unit cell a=5.2373 b=9.5900 c=8.7387 alpha=124.73 beta=90.00 gamma=105.85
Sites, in units of the cell vectors:
Nd 0.0622 0.1245 0.3913
Nd 0.3759 0.7518 0.2612
Nd 0.9378 0.8755 0.6087
Nd 0.6241 0.2482 0.7388
Nd 0.6875 0.3750 0.3670
Nd 0.3125 0.6250 0.6330
La 0.8580 0.7159 0.9469
La 0.1420 0.2841 0.0531
Pt 0.7838 0.5675 0.1892
Pt 0.2162 0.4325 0.8108
Pt 0.4963 0.9925 0.1536
Pt 0.5037 0.0075 0.8464

## Properties
energy of formation from the pure elements = -4.000 eV per formula unit
polymorph energy (0 for the lowest one) = 0.149 eV/atom

***

(2)
Material: La3Nd2Pt2
Method: DFT, PBE-GGA
State: relaxed

Unit cell a=3.9585 b=6.6450 c=9.0338 alpha=100.80 beta=102.68 gamma=107.30
Sites, in units of the cell vectors:
Pt 0.9325 0.1008 0.7648
Pt 0.0675 0.8992 0.2352
Nd 0.3521 0.5194 0.1861
Nd 0.6479 0.4806 0.8139
La 0.5000 0.0000 0.0000
La 0.1783 0.7931 0.5654
La 0.8217 0.2069 0.4346

## Properties
energy of formation from the pure elements = -4.870 eV per formula unit

***

(3)
Material: La3NdPt
Method: DFT, PBE-GGA
State: relaxed

Unit cell a=3.9320 b=6.5222 c=13.3611 alpha=84.36 beta=81.54 gamma=72.46
Sites, in units of the cell vectors:
La 0.9877 0.1157 0.9090
La 0.4449 0.9619 0.1484
La 0.7686 0.7030 0.7598
La 0.1083 0.1683 0.6150
La 0.7890 0.0385 0.3834
La 0.4221 0.6317 0.5241
Pt 0.7588 0.3393 0.1432
Pt 0.4543 0.3246 0.7668
Nd 0.2236 0.5501 0.0027
Nd 0.1035 0.5039 0.2892

## Properties
energy of formation from the pure elements = -2.427 eV per formula unit
polymorph energy (0 for the lowest one) = 0.000 eV/atom

***

(4)
Material: La2NdPt
Method: DFT, PBE-GGA
State: relaxed

Unit cell a=6.6831 b=7.3439 c=10.2957 alpha=90.00 beta=90.00 gamma=90.00
Sites, in units of the cell vectors:
La 0.8285 0.3241 0.5625
La 0.6715 0.8241 0.9375
La 0.8285 0.3241 0.9375
La 0.3285 0.1759 0.0625
La 0.1715 0.6759 0.0625
La 0.1715 0.6759 0.4375
La 0.3285 0.1759 0.4375
La 0.6715 0.8241 0.5625
Pt 0.4273 0.8797 0.2500
Pt 0.0727 0.3797 0.2500
Pt 0.5727 0.1203 0.7500
Pt 0.9273 0.6203 0.7500
Nd 0.1485 0.9725 0.7500
Nd 0.6485 0.5275 0.2500
Nd 0.8515 0.0275 0.2500
Nd 0.3515 0.4725 0.7500

## Properties
energy of formation from the pure elements = -2.536 eV per formula unit
polymorph energy (0 for the lowest one) = 0.000 eV/atom

***

(5)
Material: La2NdPt2
Method: DFT, PBE-GGA
State: relaxed

Unit cell a=4.1121 b=8.0824 c=8.0824 alpha=90.00 beta=90.00 gamma=90.00
Sites, in units of the cell vectors:
Pt 0.0000 0.1357 0.3643
Pt 0.0000 0.6357 0.1357
Pt 0.0000 0.8643 0.6357
Pt 0.0000 0.3643 0.8643
La 0.5000 0.6634 0.8366
La 0.5000 0.3366 0.1634
La 0.5000 0.1634 0.6634
La 0.5000 0.8366 0.3366
Nd 0.0000 0.0000 0.0000
Nd 0.0000 0.5000 0.5000

## Properties
energy of formation from the pure elements = -4.798 eV per formula unit

***

(6)
Material: LaNd2Pt
Method: DFT, PBE-GGA
State: relaxed

Unit cell a=3.6892 b=3.6892 c=8.8685 alpha=90.00 beta=90.00 gamma=90.00
Sites, in units of the cell vectors:
Pt 0.5000 0.5000 0.0000
Nd 0.0000 0.0000 0.1896
Nd 0.0000 0.0000 0.8104
La 0.5000 0.5000 0.5000

## Properties
energy of formation from the pure elements = -1.980 eV per formula unit
polymorph energy (0 for the lowest one) = 0.139 eV/atom

***

(7)
Material: La4NdPt2
Method: DFT, PBE-GGA
State: relaxed

Unit cell a=6.6714 b=8.3043 c=8.4116 alpha=115.16 beta=90.00 gamma=90.00
Sites, in units of the cell vectors:
La 0.7500 0.7275 0.6423
La 0.9869 0.4153 0.7816
La 0.5131 0.4153 0.7816
La 0.7500 0.0019 0.3756
La 0.2500 0.9981 0.6244
La 0.4869 0.5847 0.2184
La 0.2500 0.2725 0.3577
La 0.0131 0.5847 0.2184
Nd 0.2500 0.8507 0.9759
Nd 0.7500 0.1493 0.0241
Pt 0.2500 0.2229 0.9948
Pt 0.7500 0.7771 0.0052
Pt 0.7500 0.3575 0.4047
Pt 0.2500 0.6425 0.5953

## Properties
energy of formation from the pure elements = -4.359 eV per formula unit

***

(8)
Material: La3NdPt8
Method: DFT, PBE-GGA
State: relaxed

Unit cell a=5.5462 b=5.5462 c=9.6145 alpha=73.24 beta=73.24 gamma=60.00
Sites, in units of the cell vectors:
La 0.3748 0.3748 0.8755
La 0.9998 0.9998 0.0005
La 0.5003 0.5003 0.4992
Pt 0.6875 0.6875 0.9374
Pt 0.9376 0.9376 0.6863
Pt 0.9376 0.4385 0.6863
Pt 0.9368 0.4373 0.1887
Pt 0.4373 0.9368 0.1887
Pt 0.4385 0.9376 0.6863
Pt 0.1876 0.1876 0.4373
Pt 0.4373 0.4373 0.1887
Nd 0.8750 0.8750 0.3750

## Properties
energy of formation from the pure elements = -13.049 eV per formula unit

***

(9)
Material: LaNdPtRh
Method: DFT, PBE-GGA
State: relaxed

Unit cell a=3.9752 b=4.3772 c=5.9075 alpha=90.00 beta=109.66 gamma=90.00
Sites, in units of the cell vectors:
Pt 0.5872 0.5000 0.1744
Rh 0.4085 0.0000 0.8170
Nd 0.1404 0.0000 0.2808
La 0.8639 0.5000 0.7278

## Properties
energy of formation from the pure elements = -3.835 eV per formula unit
polymorph energy (0 for the lowest one) = 0.000 eV/atom

***

(10)
Material: LaNdPtRh
Method: DFT, PBE-GGA
State: relaxed

Unit cell a=5.0936 b=5.0936 c=5.0936 alpha=60.00 beta=60.00 gamma=60.00
Sites, in units of the cell vectors:
Pt 0.2500 0.2500 0.2500
Nd 0.5000 0.5000 0.5000
La 0.0000 0.0000 0.0000
Rh 0.7500 0.7500 0.7500

## Properties
energy of formation from the pure elements = -3.456 eV per formula unit
polymorph energy (0 for the lowest one) = 0.095 eV/atom

***

(11)
Material: La2NdSb3Pt4
Method: DFT, PBE-GGA
State: relaxed

Unit cell a=4.6239 b=4.6239 c=11.4279 alpha=90.00 beta=90.00 gamma=90.00
Sites, in units of the cell vectors:
Sb 0.0000 0.5000 0.1254
Sb 0.0000 0.0000 0.5000
Sb 0.5000 0.0000 0.8746
Pt 0.0000 0.0000 0.0000
Pt 0.0000 0.5000 0.3521
Pt 0.5000 0.0000 0.6479
Pt 0.5000 0.5000 0.0000
La 0.0000 0.5000 0.7889
La 0.5000 0.0000 0.2112
Nd 0.5000 0.5000 0.5000

## Properties
energy relative to the elements, uncorrected = -964.2 meV/atom

***

(12)
Material: La2NdSi3Pt4
Method: DFT, PBE-GGA
State: relaxed

Unit cell a=4.3426 b=4.3426 c=11.0183 alpha=90.00 beta=90.00 gamma=90.00
Sites, in units of the cell vectors:
Pt 0.5000 0.5000 0.0000
Pt 0.0000 0.0000 0.0000
Pt 0.0000 0.5000 0.3301
Pt 0.5000 0.0000 0.6699
Nd 0.5000 0.5000 0.5000
La 0.5000 0.0000 0.2256
La 0.0000 0.5000 0.7744
Si 0.0000 0.0000 0.5000
Si 0.5000 0.0000 0.8874
Si 0.0000 0.5000 0.1126

## Properties
energy relative to the elements, uncorrected = -1027.4 meV/atom